Entry 1:
First-principles (GGA-PBE) data for crystalline SiSe2 at its relaxed geometry, as listed in the Alexandria database.

Cell: 6.2229 6.2229 5.7713 Å, 90.00 90.00 120.00°
Space group P-31m (No. 162)
One atom of each set of equivalent atoms:
Si 0.0000 0.0000 0.0000
Si 0.3333 0.6667 0.5000
Se 0.0000 0.3597 0.2508

* formation energy from raw total energies: -0.0333 eV per atom
* raw total energy: -4.164 eV/atom
* N(E_F): 7.8 states/eV/cell
* total moment: 0.0 μB/f.u.

Entry 2:
First-principles (GGA-PBE) data for crystalline SiSe2 at its relaxed geometry, as listed in the Alexandria database.

Cell: 3.485 24.328 3.679 Å, 90.00 90.00 90.00°
Space group Cmmm (No. 65)
One atom of each set of equivalent atoms:
Si 0.000 0.209 0.000
Se 0.000 0.000 0.500
Se 0.000 0.326 0.500
Se 0.000 0.500 0.000

* formation energy from raw total energies: 0.1913 eV per atom
* raw total energy: -3.939 eV/atom
* N(E_F): 2.9 states/eV/cell
* total moment: 0.0 μB/f.u.

Entry 3:
First-principles (GGA-PBE) data for crystalline SiSe3 at its relaxed geometry, as listed in the Alexandria database.

Cell: 5.278 13.074 6.367 Å, 90.00 90.00 90.00°
Space group Pnma (No. 62)
One atom of each set of equivalent atoms:
Si 0.208 0.250 0.027
Se 0.224 0.750 0.885
Se 0.248 0.604 0.317

* formation energy from raw total energies: -0.0834 eV per atom
* raw total energy: -4.053 eV/atom
* N(E_F): 8.2 states/eV/cell
* total moment: 0.0 μB/f.u.

Entry 4:
First-principles (GGA-PBE) data for crystalline Si3Se4 at its relaxed geometry, as listed in the Alexandria database.

Cell: 5.236 5.236 5.236 Å, 90.00 90.00 90.00°
Space group Pm-3m (No. 221)
One atom of each set of equivalent atoms:
Si 0.000 0.000 0.500
Se 0.000 0.000 0.000
Se 0.000 0.500 0.500

* formation energy from raw total energies: 0.0732 eV per atom
* raw total energy: -4.242 eV/atom
* N(E_F): 1.9 states/eV/cell
* total moment: 0.0 μB/f.u.
* energy above the lowest structure with this stoichiometry: 27 meV per atom

Entry 5:
First-principles (GGA-PBE) data for crystalline SiSe2 at its relaxed geometry, as listed in the Alexandria database.

Cell: 8.957 3.492 11.147 Å, 90.00 93.47 90.00°
Space group C2/m (No. 12)
One atom of each set of equivalent atoms:
Si 0.217 0.000 0.194
Se 0.042 0.000 0.901
Se 0.225 0.500 0.335

* formation energy from raw total energies: 0.0436 eV per atom
* raw total energy: -4.087 eV/atom
* N(E_F): 5.7 states/eV/cell
* total moment: 0.0 μB/f.u.

Entry 6:
First-principles (GGA-PBE) data for crystalline SiSe3 at its relaxed geometry, as listed in the Alexandria database.

Cell: 7.9090 7.9090 4.8157 Å, 90.00 90.00 120.00°
Space group R-3m (No. 166, hexagonal axes)
One atom of each set of equivalent atoms:
Si 0.0000 0.0000 0.0000
Se 0.0000 0.5000 0.0000

* formation energy from raw total energies: 0.2041 eV per atom
* raw total energy: -3.765 eV/atom
* N(E_F): 13.4 states/eV/cell
* total moment: 0.0 μB/f.u.

Entry 7:
First-principles (GGA-PBE) data for crystalline SiSe4 at its relaxed geometry, as listed in the Alexandria database.

Cell: 4.821 4.821 4.821 Å, 90.00 90.00 90.00°
Space group Pm-3m (No. 221)
One atom of each set of equivalent atoms:
Si 0.000 0.000 0.000
Se 0.000 0.000 0.500
Se 0.500 0.500 0.500

* formation energy from raw total energies: 0.5467 eV per atom
* raw total energy: -3.326 eV/atom
* N(E_F): 6.4 states/eV/cell
* total moment: 0.0 μB/f.u.
* energy above the lowest structure with this stoichiometry: 593 meV per atom

Entry 8:
First-principles (GGA-PBE) data for crystalline SiSe3 at its relaxed geometry, as listed in the Alexandria database.

Cell: 3.7851 3.7851 20.0132 Å, 90.00 90.00 120.00°
Space group R-3m (No. 166, hexagonal axes)
One atom of each set of equivalent atoms:
Si 0.0000 0.0000 0.0000
Se 0.0000 0.0000 0.2614
Se 0.0000 0.0000 0.5000

* formation energy from raw total energies: 0.1254 eV per atom
* raw total energy: -3.844 eV/atom
* N(E_F): 7.6 states/eV/cell
* total moment: 0.0 μB/f.u.

Entry 9:
First-principles (GGA-PBE) data for crystalline SiSe2 at its relaxed geometry, as listed in the Alexandria database.

Cell: 6.111 5.171 9.512 Å, 90.00 90.00 90.00°
Space group Pnma (No. 62)
One atom of each set of equivalent atoms:
Si 0.091 0.250 0.130
Se 0.012 0.750 0.102
Se 0.030 0.750 0.639

* formation energy from raw total energies: -0.2112 eV per atom
* raw total energy: -4.342 eV/atom
* total moment: 0.0 μB/f.u.

Entry 10:
First-principles (GGA-PBE) data for crystalline Si2Se3 at its relaxed geometry, as listed in the Alexandria database.

Cell: 3.6886 3.6886 29.1074 Å, 90.00 90.00 120.00°
Space group R-3m (No. 166, hexagonal axes)
One atom of each set of equivalent atoms:
Si 0.0000 0.0000 0.1126
Se 0.0000 0.0000 0.2661
Se 0.0000 0.0000 0.5000

* formation energy from raw total energies: -0.1869 eV per atom
* raw total energy: -4.447 eV/atom
* N(E_F): 5.0 states/eV/cell
* total moment: 0.0 μB/f.u.

Entry 11:
First-principles (GGA-PBE) data for crystalline SiSe3 at its relaxed geometry, as listed in the Alexandria database.

Cell: 4.876 4.876 4.876 Å, 90.00 90.00 90.00°
Space group Pm-3m (No. 221)
One atom of each set of equivalent atoms:
Si 0.000 0.000 0.000
Se 0.000 0.000 0.500

* formation energy from raw total energies: 0.4552 eV per atom
* raw total energy: -3.514 eV/atom
* N(E_F): 5.7 states/eV/cell
* total moment: 0.3 μB/f.u.

Entry 12:
First-principles (GGA-PBE) data for crystalline SiSe2 at its relaxed geometry, as listed in the Alexandria database.

Cell: 3.8037 3.8037 5.6852 Å, 90.00 90.00 120.00°
Space group P-6m2 (No. 187)
One atom of each set of equivalent atoms:
Si 0.0000 0.0000 0.0000
Se 0.6667 0.3333 0.2748

* formation energy from raw total energies: 0.1117 eV per atom
* raw total energy: -4.019 eV/atom
* N(E_F): 0.4 states/eV/cell
* total moment: 0.0 μB/f.u.

The highest formation energy from raw total energies belongs to which entry?
SiSe4

Number 4 is which compound?
Si3Se4

Among the records above, which one has the highest formation energy from raw total energies?
SiSe4

What is the formation energy from raw total energies in the eighth record?
0.1254 eV per atom